Entry 1:
# PBE La2CeCdC, relaxed
# * formation energy: -167 meV/atom
data_La2CeCdC
_chemical_formula_sum 'La2 Ce1 Cd1 C1'
_space_group_name_H-M_alt 'P 4/m m m'
_space_group_IT_number 123
_space_group_name_Hall '-P 4 2'
_cell_length_a 5.2887
_cell_length_b 5.2887
_cell_length_c 4.8929
_cell_angle_alpha 90.00
_cell_angle_beta 90.00
_cell_angle_gamma 90.00
loop_
_atom_site_label
_atom_site_type_symbol
_atom_site_fract_x
_atom_site_fract_y
_atom_site_fract_z
La1 La 0.0000 0.5000 0.0000
Ce1 Ce 0.0000 0.0000 0.5000
Cd1 Cd 0.5000 0.5000 0.5000
C1 C 0.0000 0.0000 0.0000

=====

Entry 2:
# PBE Ce2PmCdC, relaxed
# * formation energy: -169 meV/atom
data_Ce2PmCdC
_chemical_formula_sum 'Ce2 Pm1 Cd1 C1'
_space_group_name_H-M_alt 'P 4/m m m'
_space_group_IT_number 123
_space_group_name_Hall '-P 4 2'
_cell_length_a 4.9481
_cell_length_b 4.9481
_cell_length_c 5.1557
_cell_angle_alpha 90.00
_cell_angle_beta 90.00
_cell_angle_gamma 90.00
loop_
_atom_site_label
_atom_site_type_symbol
_atom_site_fract_x
_atom_site_fract_y
_atom_site_fract_z
Ce1 Ce 0.0000 0.5000 0.0000
Pm1 Pm 0.0000 0.0000 0.5000
Cd1 Cd 0.5000 0.5000 0.5000
C1 C 0.0000 0.0000 0.0000

=====

Entry 3:
# PBE Ce6PuCd2C, relaxed
# * formation energy: -333 meV/atom
data_Ce6PuCd2C
_chemical_formula_sum 'Ce24 Pu4 Cd8 C4'
_space_group_name_H-M_alt 'F m -3 m'
_space_group_IT_number 225
_space_group_name_Hall '-F 4 2 3'
_cell_length_a 9.9987
_cell_length_b 9.9987
_cell_length_c 9.9987
_cell_angle_alpha 90.00
_cell_angle_beta 90.00
_cell_angle_gamma 90.00
loop_
_atom_site_label
_atom_site_type_symbol
_atom_site_fract_x
_atom_site_fract_y
_atom_site_fract_z
Ce1 Ce 0.0000 0.0000 0.2468
Pu1 Pu 0.0000 0.0000 0.0000
Cd1 Cd 0.2500 0.2500 0.2500
C1 C 0.0000 0.0000 0.5000

=====

Entry 4:
# PBE CeSc2CdC, relaxed
# * formation energy: -319 meV/atom
data_CeSc2CdC
_chemical_formula_sum 'Ce1 Sc2 Cd1 C1'
_space_group_name_H-M_alt 'P 4/m m m'
_space_group_IT_number 123
_space_group_name_Hall '-P 4 2'
_cell_length_a 4.6449
_cell_length_b 4.6449
_cell_length_c 4.8695
_cell_angle_alpha 90.00
_cell_angle_beta 90.00
_cell_angle_gamma 90.00
loop_
_atom_site_label
_atom_site_type_symbol
_atom_site_fract_x
_atom_site_fract_y
_atom_site_fract_z
Ce1 Ce 0.0000 0.0000 0.0000
Sc1 Sc 0.0000 0.5000 0.5000
Cd1 Cd 0.5000 0.5000 0.0000
C1 C 0.0000 0.0000 0.5000

=====

Entry 5:
# PBE Ce2SmCdC, relaxed
# * formation energy: -175 meV/atom
data_Ce2SmCdC
_chemical_formula_sum 'Ce2 Sm1 Cd1 C1'
_space_group_name_H-M_alt 'P 4/m m m'
_space_group_IT_number 123
_space_group_name_Hall '-P 4 2'
_cell_length_a 4.9477
_cell_length_b 4.9477
_cell_length_c 5.1240
_cell_angle_alpha 90.00
_cell_angle_beta 90.00
_cell_angle_gamma 90.00
loop_
_atom_site_label
_atom_site_type_symbol
_atom_site_fract_x
_atom_site_fract_y
_atom_site_fract_z
Ce1 Ce 0.0000 0.5000 0.0000
Sm1 Sm 0.0000 0.0000 0.5000
Cd1 Cd 0.5000 0.5000 0.5000
C1 C 0.0000 0.0000 0.0000

=====

Entry 6:
# PBE CeSm2CdC, relaxed
# * formation energy: -196 meV/atom
data_CeSm2CdC
_chemical_formula_sum 'Ce1 Sm2 Cd1 C1'
_space_group_name_H-M_alt 'P 4/m m m'
_space_group_IT_number 123
_space_group_name_Hall '-P 4 2'
_cell_length_a 5.1060
_cell_length_b 5.1060
_cell_length_c 4.8875
_cell_angle_alpha 90.00
_cell_angle_beta 90.00
_cell_angle_gamma 90.00
loop_
_atom_site_label
_atom_site_type_symbol
_atom_site_fract_x
_atom_site_fract_y
_atom_site_fract_z
Ce1 Ce 0.0000 0.0000 0.0000
Sm1 Sm 0.0000 0.5000 0.5000
Cd1 Cd 0.5000 0.5000 0.0000
C1 C 0.0000 0.0000 0.5000

=====

Entry 7:
# PBE Tb2CeCdC, relaxed
# * formation energy: -247 meV/atom
data_Tb2CeCdC
_chemical_formula_sum 'Tb2 Ce1 Cd1 C1'
_space_group_name_H-M_alt 'P 4/m m m'
_space_group_IT_number 123
_space_group_name_Hall '-P 4 2'
_cell_length_a 4.9909
_cell_length_b 4.9909
_cell_length_c 4.9011
_cell_angle_alpha 90.00
_cell_angle_beta 90.00
_cell_angle_gamma 90.00
loop_
_atom_site_label
_atom_site_type_symbol
_atom_site_fract_x
_atom_site_fract_y
_atom_site_fract_z
Tb1 Tb 0.0000 0.5000 0.0000
Ce1 Ce 0.0000 0.0000 0.5000
Cd1 Cd 0.5000 0.5000 0.5000
C1 C 0.0000 0.0000 0.0000

=====

Entry 8:
# PBE TbCe2CdC, relaxed
# * formation energy: -197 meV/atom
data_TbCe2CdC
_chemical_formula_sum 'Tb1 Ce2 Cd1 C1'
_space_group_name_H-M_alt 'P 4/m m m'
_space_group_IT_number 123
_space_group_name_Hall '-P 4 2'
_cell_length_a 4.9533
_cell_length_b 4.9533
_cell_length_c 5.0126
_cell_angle_alpha 90.00
_cell_angle_beta 90.00
_cell_angle_gamma 90.00
loop_
_atom_site_label
_atom_site_type_symbol
_atom_site_fract_x
_atom_site_fract_y
_atom_site_fract_z
Tb1 Tb 0.0000 0.0000 0.0000
Ce1 Ce 0.0000 0.5000 0.5000
Cd1 Cd 0.5000 0.5000 0.0000
C1 C 0.0000 0.0000 0.5000

=====

Entry 9:
# PBE Ce2ThCdC, relaxed
# * formation energy: -178 meV/atom
data_Ce2ThCdC
_chemical_formula_sum 'Ce2 Th1 Cd1 C1'
_space_group_name_H-M_alt 'P 4/m m m'
_space_group_IT_number 123
_space_group_name_Hall '-P 4 2'
_cell_length_a 4.9849
_cell_length_b 4.9849
_cell_length_c 5.0761
_cell_angle_alpha 90.00
_cell_angle_beta 90.00
_cell_angle_gamma 90.00
loop_
_atom_site_label
_atom_site_type_symbol
_atom_site_fract_x
_atom_site_fract_y
_atom_site_fract_z
Ce1 Ce 0.0000 0.5000 0.0000
Th1 Th 0.0000 0.0000 0.5000
Cd1 Cd 0.5000 0.5000 0.5000
C1 C 0.0000 0.0000 0.0000

=====

Entry 10:
# PBE Ce12Tl4CdC3, relaxed
# * formation energy: -78 meV/atom
data_Ce12Tl4CdC3
_chemical_formula_sum 'Ce24 Tl8 Cd2 C6'
_space_group_name_H-M_alt 'I m -3 m'
_space_group_IT_number 229
_space_group_name_Hall '-I 4 2 3'
_cell_length_a 10.3332
_cell_length_b 10.3332
_cell_length_c 10.3332
_cell_angle_alpha 90.00
_cell_angle_beta 90.00
_cell_angle_gamma 90.00
loop_
_atom_site_label
_atom_site_type_symbol
_atom_site_fract_x
_atom_site_fract_y
_atom_site_fract_z
Ce1 Ce 0.0000 0.0000 0.2789
Ce2 Ce 0.0000 0.2500 0.5000
Tl1 Tl 0.2500 0.2500 0.2500
Cd1 Cd 0.0000 0.0000 0.0000
C1 C 0.0000 0.0000 0.5000

=====

Entry 11:
# PBE Ce2TmCdC, relaxed
# * formation energy: -210 meV/atom
data_Ce2TmCdC
_chemical_formula_sum 'Ce2 Tm1 Cd1 C1'
_space_group_name_H-M_alt 'P 4/m m m'
_space_group_IT_number 123
_space_group_name_Hall '-P 4 2'
_cell_length_a 4.9651
_cell_length_b 4.9651
_cell_length_c 4.8967
_cell_angle_alpha 90.00
_cell_angle_beta 90.00
_cell_angle_gamma 90.00
loop_
_atom_site_label
_atom_site_type_symbol
_atom_site_fract_x
_atom_site_fract_y
_atom_site_fract_z
Ce1 Ce 0.0000 0.5000 0.0000
Tm1 Tm 0.0000 0.0000 0.5000
Cd1 Cd 0.5000 0.5000 0.5000
C1 C 0.0000 0.0000 0.0000

=====

Entry 12:
# PBE CeTm2CdC, relaxed
# * formation energy: -285 meV/atom
data_CeTm2CdC
_chemical_formula_sum 'Ce1 Tm2 Cd1 C1'
_space_group_name_H-M_alt 'P 4/m m m'
_space_group_IT_number 123
_space_group_name_Hall '-P 4 2'
_cell_length_a 4.8811
_cell_length_b 4.8811
_cell_length_c 4.9013
_cell_angle_alpha 90.00
_cell_angle_beta 90.00
_cell_angle_gamma 90.00
loop_
_atom_site_label
_atom_site_type_symbol
_atom_site_fract_x
_atom_site_fract_y
_atom_site_fract_z
Ce1 Ce 0.0000 0.0000 0.0000
Tm1 Tm 0.0000 0.5000 0.5000
Cd1 Cd 0.5000 0.5000 0.0000
C1 C 0.0000 0.0000 0.5000

=====

Entry 13:
# PBE CeY2CdC, relaxed
# * formation energy: -275 meV/atom
data_CeY2CdC
_chemical_formula_sum 'Ce1 Y2 Cd1 C1'
_space_group_name_H-M_alt 'P 4/m m m'
_space_group_IT_number 123
_space_group_name_Hall '-P 4 2'
_cell_length_a 4.9719
_cell_length_b 4.9719
_cell_length_c 4.9114
_cell_angle_alpha 90.00
_cell_angle_beta 90.00
_cell_angle_gamma 90.00
loop_
_atom_site_label
_atom_site_type_symbol
_atom_site_fract_x
_atom_site_fract_y
_atom_site_fract_z
Ce1 Ce 0.0000 0.0000 0.0000
Y1 Y 0.0000 0.5000 0.5000
Cd1 Cd 0.5000 0.5000 0.0000
C1 C 0.0000 0.0000 0.5000

=====

Entry 14:
# PBE Ce2YCdC, relaxed
# * formation energy: -207 meV/atom
data_Ce2YCdC
_chemical_formula_sum 'Ce2 Y1 Cd1 C1'
_space_group_name_H-M_alt 'P 4/m m m'
_space_group_IT_number 123
_space_group_name_Hall '-P 4 2'
_cell_length_a 4.9611
_cell_length_b 4.9611
_cell_length_c 4.9937
_cell_angle_alpha 90.00
_cell_angle_beta 90.00
_cell_angle_gamma 90.00
loop_
_atom_site_label
_atom_site_type_symbol
_atom_site_fract_x
_atom_site_fract_y
_atom_site_fract_z
Ce1 Ce 0.0000 0.5000 0.0000
Y1 Y 0.0000 0.0000 0.5000
Cd1 Cd 0.5000 0.5000 0.5000
C1 C 0.0000 0.0000 0.0000

=====

Entry 15:
# PBE Cd2CCl, relaxed
# * uncorrected formation energy: 0.50 eV per atom
# * energy above the most stable polymorph in this dataset: 0.0 meV per atom
data_Cd2CCl
_chemical_formula_sum 'Cd8 C4 Cl4'
_space_group_name_H-M_alt 'I -4 2 d'
_space_group_IT_number 122
_space_group_name_Hall 'I -4 2bw'
_cell_length_a 5.9250
_cell_length_b 5.9250
_cell_length_c 10.7448
_cell_angle_alpha 90.00
_cell_angle_beta 90.00
_cell_angle_gamma 90.00
loop_
_atom_site_label
_atom_site_type_symbol
_atom_site_fract_x
_atom_site_fract_y
_atom_site_fract_z
Cd1 Cd 0.1552 0.2500 0.1250
C1 C 0.0000 0.0000 0.0000
Cl1 Cl 0.0000 0.0000 0.5000

=====

Entry 16:
# PBE Cd2CCl, relaxed
# * uncorrected formation energy: 1.21 eV per atom
# * energy above the most stable polymorph in this dataset: 710.5 meV per atom
data_Cd2CCl
_chemical_formula_sum 'Cd8 C4 Cl4'
_space_group_name_H-M_alt 'F m -3 m'
_space_group_IT_number 225
_space_group_name_Hall '-F 4 2 3'
_cell_length_a 6.7147
_cell_length_b 6.7147
_cell_length_c 6.7147
_cell_angle_alpha 90.00
_cell_angle_beta 90.00
_cell_angle_gamma 90.00
loop_
_atom_site_label
_atom_site_type_symbol
_atom_site_fract_x
_atom_site_fract_y
_atom_site_fract_z
Cd1 Cd 0.2500 0.2500 0.2500
C1 C 0.0000 0.0000 0.0000
Cl1 Cl 0.0000 0.0000 0.5000

=====

Entry 17:
# PBE Cd3CCl, relaxed
# * uncorrected formation energy: 0.39 eV per atom
data_Cd3CCl
_chemical_formula_sum 'Cd3 C1 Cl1'
_space_group_name_H-M_alt 'P m -3 m'
_space_group_IT_number 221
_space_group_name_Hall '-P 4 2 3'
_cell_length_a 4.7428
_cell_length_b 4.7428
_cell_length_c 4.7428
_cell_angle_alpha 90.00
_cell_angle_beta 90.00
_cell_angle_gamma 90.00
loop_
_atom_site_label
_atom_site_type_symbol
_atom_site_fract_x
_atom_site_fract_y
_atom_site_fract_z
Cd1 Cd 0.0000 0.0000 0.5000
C1 C 0.0000 0.0000 0.0000
Cl1 Cl 0.5000 0.5000 0.5000

=====

Entry 18:
# PBE CdFeCCl2, relaxed
# * uncorrected formation energy: 0.45 eV per atom
data_CdFeCCl2
_chemical_formula_sum 'Cd1 Fe1 C1 Cl2'
_space_group_name_H-M_alt 'P 4/m m m'
_space_group_IT_number 123
_space_group_name_Hall '-P 4 2'
_cell_length_a 4.9945
_cell_length_b 4.9945
_cell_length_c 3.6309
_cell_angle_alpha 90.00
_cell_angle_beta 90.00
_cell_angle_gamma 90.00
loop_
_atom_site_label
_atom_site_type_symbol
_atom_site_fract_x
_atom_site_fract_y
_atom_site_fract_z
Cd1 Cd 0.0000 0.0000 0.0000
Fe1 Fe 0.5000 0.5000 0.5000
C1 C 0.5000 0.5000 0.0000
Cl1 Cl 0.0000 0.5000 0.5000

=====

Entry 19:
# PBE CdH6CN3Cl3, relaxed
# * uncorrected energy: -276.5 eV for the cell shown
data_CdH6CN3Cl3
_chemical_formula_sum 'Cd4 H24 C4 N12 Cl12'
_space_group_name_H-M_alt 'P 1 21/c 1'
_space_group_IT_number 14
_space_group_name_Hall '-P 2ybc'
_cell_length_a 8.6762
_cell_length_b 6.8039
_cell_length_c 17.3002
_cell_angle_alpha 90.00
_cell_angle_beta 119.94
_cell_angle_gamma 90.00
loop_
_atom_site_label
_atom_site_type_symbol
_atom_site_fract_x
_atom_site_fract_y
_atom_site_fract_z
Cd1 Cd 0.0005 0.0196 0.2506
H1 H 0.0856 0.7412 0.5717
H2 H 0.0857 0.7471 0.9713
H3 H 0.3591 0.7291 0.7086
H4 H 0.3591 0.7470 0.9710
H5 H 0.4406 0.2291 0.7915
H6 H 0.4406 0.2410 0.9287
C1 C 0.3347 0.7406 0.5837
N1 N 0.1568 0.7460 0.5393
N2 N 0.4237 0.7299 0.6729
N3 N 0.4237 0.7458 0.5390
Cl1 Cl 0.1373 0.2297 0.8878
Cl2 Cl 0.1371 0.2307 0.6808
Cl3 Cl 0.2751 0.7307 0.8189

=====

Entry 20:
# PBE CdH8C2NCl3, relaxed
# * uncorrected energy: -270.9 eV for the cell shown
data_CdH8C2NCl3
_chemical_formula_sum 'Cd4 H32 C8 N4 Cl12'
_space_group_name_H-M_alt 'P 1 21/c 1'
_space_group_IT_number 14
_space_group_name_Hall '-P 2ybc'
_cell_length_a 9.3947
_cell_length_b 13.2856
_cell_length_c 6.8486
_cell_angle_alpha 90.00
_cell_angle_beta 102.94
_cell_angle_gamma 90.00
loop_
_atom_site_label
_atom_site_type_symbol
_atom_site_fract_x
_atom_site_fract_y
_atom_site_fract_z
Cd1 Cd 0.2009 0.2463 0.4811
H1 H 0.1306 0.5491 0.9020
H2 H 0.1541 0.5629 0.5577
H3 H 0.1794 0.6729 0.8371
H4 H 0.2716 0.0218 0.1896
H5 H 0.3170 0.5904 0.9786
H6 H 0.3477 0.6873 0.5958
H7 H 0.3811 0.5759 0.4648
H8 H 0.4711 0.5937 0.7231
C1 C 0.2165 0.5947 0.8614
C2 C 0.3706 0.6065 0.6093
N1 N 0.2471 0.5548 0.6715
Cl1 Cl 0.0083 0.1630 0.1611
Cl2 Cl 0.2025 0.1007 0.7381
Cl3 Cl 0.3931 0.1627 0.2940

=====

Going through the records in order, we get calculated volume values of 137; 126; 1000; 105; 125; 127; 122; 123; 126; 1103; 121; 117; 121; 123; 377; 303; 107; 91; 885; 833 Å³/cell.